[1]
VASP calculation (PBE) on a geometry-optimized Bi2PdPb4 structure.

Values from the calculation:
Theoretical density (g/cm³): 10.6
Total moment (μB per cell): 0.0
Volume (Å³/cell): 212.4
E (eV/atom): -4.01
Energy of formation from the pure elements (eV per formula unit): -0.29

a = 4.3373 Å, b = 7.6916 Å, c = 8.6772 Å
α = 129.17°, β = 104.47°, γ = 90.00°
Fractional coordinates of all 7 atoms:
Bi (0.2152, 0.2877, 0.4305)
Bi (0.7848, 0.7123, 0.5695)
Pd (0.0000, 0.0000, 0.0000)
Pb (0.1569, 0.7797, 0.3139)
Pb (0.8431, 0.2203, 0.6861)
Pb (0.4803, 0.7343, 0.9605)
Pb (0.5197, 0.2657, 0.0395)


[2]
VASP calculation (PBE) on a geometry-optimized LaY3In4 structure.

Values from the calculation:
Theoretical density (g/cm³): 6.5
Total moment (μB per cell): 0.0
Volume (Å³/cell): 443.8
E (eV/atom): -4.91
Energy of formation from the pure elements (eV per formula unit): -3.97

a = 5.5341 Å, b = 7.3716 Å, c = 10.8788 Å
α = 90.00°, β = 90.00°, γ = 90.00°
Fractional coordinates of all 16 atoms:
Y (0.0000, 0.0000, 0.0000)
Y (0.0000, 0.0000, 0.5000)
Y (0.5704, 0.0000, 0.7500)
Y (0.4296, 0.0000, 0.2500)
Y (0.5587, 0.5000, 0.7500)
Y (0.4413, 0.5000, 0.2500)
In (0.5000, 0.7618, 0.0000)
In (0.5000, 0.7618, 0.5000)
In (0.5000, 0.2382, 0.0000)
In (0.5000, 0.2382, 0.5000)
In (0.0754, 0.7609, 0.7500)
In (0.9246, 0.7609, 0.2500)
In (0.9246, 0.2391, 0.2500)
In (0.0754, 0.2391, 0.7500)
La (0.0000, 0.5000, 0.0000)
La (0.0000, 0.5000, 0.5000)